1.
First-principles (GGA-PBE) data for a relaxed TlSiSe crystal, as listed in Alexandria via LeMat-Bulk.

The structure belongs to space group P3m1 (No. 156); the cell edges are 3.4845, 3.4845 and 7.2992 Å and the angles 90.00°, 90.00° and 120.00°. The distinct sites, in fractional coordinates, are Tl at (0.0000, 0.0000, 0.0000), Si at (0.3333, 0.6667, 0.6335) and Se at (0.6667, 0.3333, 0.4353).

For the volume, the calculation gives 76.7 Å³ per cell. The energy above the most stable polymorph in this dataset comes out at 134 meV per atom. As for the formation energy without anion corrections: 0.013 eV/atom. For the total magnetization, the calculation gives 0.000 μB/f.u.

---

2.
First-principles (GGA-PBE) data for a relaxed Nd6GeTe3As2 crystal, as listed in Alexandria via LeMat-Bulk.

The structure belongs to space group C2/m (No. 12); the cell edges are 19.319, 4.360 and 8.883 Å and the angles 90.00°, 104.88° and 90.00°. The distinct sites, in fractional coordinates, are Nd at (0.005, 0.000, 0.234), Nd at (0.159, 0.500, 0.097), Nd at (0.173, 0.500, 0.568), Ge at (0.000, 0.500, 0.000), Te at (0.000, 0.500, 0.500), Te at (0.168, 0.000, 0.833) and As at (0.167, 0.000, 0.334).

For the volume, the calculation gives 723.1 Å³ per cell. As for the formation energy without anion corrections: -1.444 eV/atom. For the total magnetization, the calculation gives 0.000 μB/f.u.

---

3.
First-principles (GGA-PBE) data for a relaxed Rb2MnBeFe crystal, as listed in Alexandria via LeMat-Bulk.

The structure belongs to space group P4/mmm (No. 123); the cell edges are 6.588, 6.588 and 4.654 Å and the angles 90.00°, 90.00° and 90.00°. The distinct sites, in fractional coordinates, are Rb at (0.000, 0.500, 0.000), Mn at (0.000, 0.000, 0.000), Be at (0.500, 0.500, 0.500) and Fe at (0.000, 0.000, 0.500).

For the volume, the calculation gives 202.0 Å³ per cell. For the total magnetization, the calculation gives 6.544 μB/f.u. As for the final energy: -15.83 eV per formula unit.

---

4.
First-principles (GGA-PBE) data for a relaxed LiTbErGa crystal, as listed in Alexandria via LeMat-Bulk.

The structure belongs to space group F-43m (No. 216); the cell edges are 7.188, 7.188 and 7.188 Å and the angles 90.00°, 90.00° and 90.00°. The distinct sites, in fractional coordinates, are Li at (0.000, 0.000, 0.000), Tb at (0.250, 0.250, 0.750), Er at (0.250, 0.250, 0.250) and Ga at (0.000, 0.000, 0.500).

For the volume, the calculation gives 371.4 Å³ per cell. For the total magnetization, the calculation gives 0.000 μB/f.u. As for the final energy: -15.39 eV per formula unit.